The following is a PBE calculation of Sr2MgCdSe after structural relaxation, from Alexandria via LeMat-Bulk.

Cell: 5.897 5.503 5.897 Å, 90.00 90.00 90.00°
Fractional positions:
Sr1 0.000 0.000 0.500
Sr2 0.500 0.000 0.000
Mg1 0.500 0.500 0.500
Se1 0.000 0.000 0.000
Cd1 0.000 0.500 0.000

## Properties
- V: 38.27 A^3/atom
- DOS at the Fermi energy: 0.73 states/eV/atom
- Space-group type: P4/mmm, No. 123
- E_form (uncorrected): -2.11 eV per formula unit
- Crystal system: tetragonal

The following is a PBE calculation of Mg2CdTeSe2 after structural relaxation, from Alexandria via LeMat-Bulk.

Cell: 7.157 7.603 7.627 Å, 119.89 90.00 90.00°
Fractional positions:
Mg1 0.816 0.834 0.355
Mg2 0.816 0.479 0.645
Mg3 0.316 0.521 0.355
Mg4 0.316 0.166 0.645
Cd1 0.292 0.817 0.000
Cd2 0.792 0.183 0.000
Te1 0.690 0.821 0.000
Te2 0.190 0.179 0.000
Se1 0.180 0.834 0.347
Se2 0.180 0.487 0.653
Se3 0.680 0.166 0.653
Se4 0.680 0.513 0.347

## Properties
- V: 29.98 A^3/atom
- DOS at the Fermi energy: 0.00 states/eV/atom
- Space-group type: Cmc2_1, No. 36
- E_form (uncorrected): -5.69 eV per formula unit
- Crystal system: orthorhombic

The following is a PBE calculation of Mg2TlCdSe after structural relaxation, from Alexandria via LeMat-Bulk.

Cell: 5.031 6.239 5.031 Å, 90.00 90.00 90.00°
Fractional positions:
Tl1 0.000 0.500 0.000
Mg1 0.000 0.000 0.500
Mg2 0.500 0.000 0.000
Se1 0.000 0.000 0.000
Cd1 0.500 0.500 0.500

## Properties
- V: 31.58 A^3/atom
- DOS at the Fermi energy: 0.40 states/eV/atom
- Energy relative to the lowest polymorph listed for this composition: 0.000 eV per atom
- Space-group type: P4/mmm, No. 123
- E_form (uncorrected): -0.03 eV per formula unit
- Crystal system: tetragonal

The following is a PBE calculation of Mg2TlCdSe after structural relaxation, from Alexandria via LeMat-Bulk.

Cell: 5.340 5.362 5.340 Å, 90.00 90.00 90.00°
Fractional positions:
Tl1 0.000 0.000 0.000
Mg1 0.000 0.000 0.500
Mg2 0.500 0.000 0.000
Se1 0.500 0.500 0.500
Cd1 0.000 0.500 0.000

## Properties
- V: 30.58 A^3/atom
- DOS at the Fermi energy: 1.33 states/eV/atom
- Energy relative to the lowest polymorph listed for this composition: 0.288 eV per atom
- Space-group type: P4/mmm, No. 123
- E_form (uncorrected): 1.41 eV per formula unit
- Crystal system: tetragonal

The following is a PBE calculation of YMgCdSe2 after structural relaxation, from Alexandria via LeMat-Bulk.

Cell: 4.959 5.818 4.959 Å, 90.00 90.00 90.00°
Fractional positions:
Y1 0.000 0.500 0.000
Mg1 0.000 0.000 0.000
Se1 0.000 0.000 0.500
Se2 0.500 0.000 0.000
Cd1 0.500 0.500 0.500

## Properties
- V: 28.62 A^3/atom
- DOS at the Fermi energy: 0.73 states/eV/atom
- Space-group type: P4/mmm, No. 123
- E_form (uncorrected): 0.00 eV per formula unit
- Crystal system: tetragonal

The following is a PBE calculation of Mg2ZnCdSe4 after structural relaxation, from Alexandria via LeMat-Bulk.

Cell: 5.998 5.998 7.298 Å, 114.27 114.27 90.00°
Fractional positions:
Mg1 0.750 0.250 0.500
Mg2 0.250 0.750 0.500
Zn1 0.500 0.500 0.000
Cd1 0.000 0.000 0.000
Se1 0.611 0.611 0.750
Se2 0.389 0.861 0.250
Se3 0.861 0.389 0.250
Se4 0.139 0.139 0.750

## Properties
- V: 26.71 A^3/atom
- DOS at the Fermi energy: 0.00 states/eV/atom
- Space-group type: I-42m, No. 121
- E_form (uncorrected): -7.66 eV per formula unit
- Crystal system: tetragonal

The following is a PBE calculation of MgCd2Si after structural relaxation, from Alexandria via LeMat-Bulk.

Cell: 4.216 4.216 10.321 Å, 78.21 78.21 90.00°
Fractional positions:
Si1 0.000 0.000 0.000
Si2 0.750 0.250 0.500
Mg1 0.500 0.500 0.000
Mg2 0.250 0.750 0.500
Cd1 0.628 0.125 0.250
Cd2 0.122 0.625 0.250
Cd3 0.375 0.372 0.750
Cd4 0.875 0.878 0.750

## Properties
- V: 21.95 A^3/atom
- DOS at the Fermi energy: 0.39 states/eV/atom
- Energy relative to the lowest polymorph listed for this composition: 0.111 eV per atom
- Space-group type: I-42d, No. 122
- E_form (uncorrected): 0.89 eV per formula unit
- Crystal system: tetragonal

The following is a PBE calculation of Mg2CdSi after structural relaxation, from Alexandria via LeMat-Bulk.

Cell: 4.425 4.424 4.001 Å, 90.00 90.00 90.00°
Fractional positions:
Cd1 0.000 0.500 0.500
Mg1 0.000 0.000 0.000
Mg2 0.500 0.500 0.000
Si1 0.500 0.000 0.500

## Properties
- V: 19.58 A^3/atom
- DOS at the Fermi energy: 0.37 states/eV/atom
- Space-group type: P4/mmm, No. 123
- E_form (uncorrected): 0.10 eV per formula unit
- Crystal system: tetragonal

The following is a PBE calculation of Mg2CdSi after structural relaxation, from Alexandria via LeMat-Bulk.

Cell: 8.912 8.912 8.912 Å, 21.69 21.69 21.69°
Fractional positions:
Cd1 0.750 0.750 0.750
Mg1 0.991 0.991 0.991
Mg2 0.509 0.509 0.509
Si1 0.250 0.250 0.250

## Properties
- V: 21.17 A^3/atom
- DOS at the Fermi energy: 0.67 states/eV/atom
- Space-group type: R-3m, No. 166
- E_form (uncorrected): 0.45 eV per formula unit
- Crystal system: trigonal

The following is a PBE calculation of MgCd2Si after structural relaxation, from Alexandria via LeMat-Bulk.

Cell: 5.380 5.380 5.380 Å, 133.23 133.23 68.29°
Fractional positions:
Cd1 0.000 0.000 0.000
Cd2 0.500 0.500 0.000
Mg1 0.250 0.750 0.500
Si1 0.750 0.250 0.500

## Properties
- V: 20.31 A^3/atom
- DOS at the Fermi energy: 0.53 states/eV/atom
- Energy relative to the lowest polymorph listed for this composition: 0.031 eV per atom
- Space-group type: I4/mmm, No. 139
- E_form (uncorrected): 0.57 eV per formula unit
- Crystal system: tetragonal

The following is a PBE calculation of MgCd3Si after structural relaxation, from Alexandria via LeMat-Bulk.

Cell: 5.194 5.194 5.194 Å, 90.00 90.00 90.00°
Fractional positions:
Si1 0.000 0.000 0.000
Mg1 0.500 0.500 0.500
Cd1 0.000 0.500 0.000
Cd2 0.000 0.000 0.500
Cd3 0.500 0.000 0.000

## Properties
- V: 28.02 A^3/atom
- DOS at the Fermi energy: 0.70 states/eV/atom
- Energy relative to the lowest polymorph listed for this composition: 0.000 eV per atom
- Space-group type: Pm-3m, No. 221
- E_form (uncorrected): 1.98 eV per formula unit
- Crystal system: cubic

The following is a PBE calculation of Mg2CdSi after structural relaxation, from Alexandria via LeMat-Bulk.

Cell: 5.107 2.947 5.224 Å, 89.99 90.00 90.00°
Fractional positions:
Cd1 0.500 0.625 0.813
Mg1 0.000 0.125 0.934
Mg2 0.500 0.125 0.321
Si1 0.000 0.625 0.432

## Properties
- V: 19.66 A^3/atom
- DOS at the Fermi energy: 0.30 states/eV/atom
- Space-group type: Pmm2, No. 25
- E_form (uncorrected): 0.21 eV per formula unit
- Crystal system: orthorhombic